No. 1
Here is a relaxed structure of YHoCoRu from Alexandria. Energies are from PBE-GGA.

For the formation enthalpy at 0 K, the calculation gives -0.238 eV per atom. As for the calculated density: 9.0 Mg/m³.

The space group is F-43m (No. 216) and the conventional cell measures 6.7395, 6.7395 and 6.7395 Å, with angles of 90.00, 90.00 and 90.00 degrees. The inequivalent atoms are Y at (0.0000, 0.0000, 0.0000), Ho at (0.0000, 0.0000, 0.5000), Co at (0.2500, 0.2500, 0.7500) and Ru at (0.2500, 0.2500, 0.2500).

***

No. 2
Here is a relaxed structure of Ho6CoS5 from Alexandria. Energies are from PBE-GGA.

As for the calculated density: 7.9 Mg/m³. The calculation puts the formation energy (no corrections) at -1677 meV/atom.

The space group is C2/m (No. 12) and the conventional cell measures 6.7931, 11.7542 and 6.7567 Å, with angles of 90.00, 109.67 and 90.00 degrees. The inequivalent atoms are Ho at (0.2372, 0.0000, 0.2591), Ho at (0.2372, 0.1588, 0.7382), Co at (0.0000, 0.0000, 0.5000), S at (0.0000, 0.1750, 0.0000), S at (0.0000, 0.3343, 0.5000) and S at (0.0000, 0.5000, 0.0000).